No. 1
{
  "formula": "PIrCl2",
  "functional": "PBE-GGA",
  "state": "relaxed",
  "cell": [[-1.6728, -2.8787, 0.9335], [-0.0257, -2.0804, -6.4620], [3.5125, -3.3441, -4.0184]],
  "species": ["Cl", "Cl", "Ir", "P"],
  "frac_coords": [[0.0000, 0.9997, 0.9930], [0.5000, 0.3298, 0.2238], [0.0000, 0.5338, 0.5760], [0.5000, 0.6368, 0.7072]],
  "space_group": "Pm",
  "raw_formation_energy_kj_per_mol_atoms": -21,
  "relative_energy_ev_per_atom": 0.446,
  "dos_ef_per_ev_cell": 0.26,
  "e_tot_ev_per_atom": -4.708
}

---

No. 2
{
  "formula": "CaFeOs",
  "functional": "PBE-GGA",
  "state": "relaxed",
  "cell": [[4.3471, -0.0026, 0.0003], [-0.5027, 6.6975, 0.0005], [0.0000, 0.0000, 4.0873]],
  "species": ["Ca", "Ca", "Os", "Os", "Fe", "Fe"],
  "frac_coords": [[0.9352, 0.3402, 0.5678], [0.4134, 0.0402, 0.0678], [0.4950, 0.5461, 0.0676], [0.8536, 0.8344, 0.5675], [0.3615, 0.6957, 0.5674], [0.9871, 0.6847, 0.0674]],
  "space_group": "P2_1/m",
  "relative_energy_ev_per_atom": 0.146,
  "delta_e_f_ev_per_atom": 0.2834,
  "dos_ef_per_ev_cell": 5.54,
  "e_tot_ev_per_atom": -6.948
}

---

No. 3
{
  "formula": "Cu2PtRhI",
  "functional": "PBE-GGA",
  "state": "relaxed",
  "cell": [[4.7213, 0.0000, 0.0000], [0.0000, 4.7213, 0.0000], [0.0000, 0.0000, 4.8516]],
  "species": ["I", "Rh", "Cu", "Cu", "Pt"],
  "frac_coords": [[0.5000, 0.5000, 0.5000], [0.0000, 0.0000, 0.0000], [0.0000, 0.5000, 0.0000], [0.5000, 0.0000, 0.0000], [0.0000, 0.0000, 0.5000]],
  "space_group": "P4/mmm",
  "raw_formation_energy_kj_per_mol_atoms": 93,
  "dos_ef_per_ev_cell": 5.43,
  "e_tot_ev_per_atom": -3.665
}

---

No. 4
{
  "formula": "TaCoSbI2",
  "functional": "PBE-GGA",
  "state": "relaxed",
  "cell": [[5.4732, 0.0000, 0.0000], [0.0000, 5.4732, 0.0000], [0.0000, 0.0000, 5.5214]],
  "species": ["I", "I", "Sb", "Co", "Ta"],
  "frac_coords": [[0.0000, 0.5000, 0.0000], [0.5000, 0.0000, 0.0000], [0.0000, 0.0000, 0.5000], [0.5000, 0.5000, 0.5000], [0.0000, 0.0000, 0.0000]],
  "space_group": "P4/mmm",
  "raw_formation_energy_kj_per_mol_atoms": 104,
  "relative_energy_ev_per_atom": 0.000,
  "dos_ef_per_ev_cell": 8.21,
  "e_tot_ev_per_atom": -4.157
}

---

No. 5
{
  "formula": "Y5Rh4Pb",
  "functional": "PBE-GGA",
  "state": "relaxed",
  "cell": [[-2.2539, 2.4175, 0.7294], [-1.9643, -1.0643, -2.5427], [-8.9757, -11.9722, 11.9452]],
  "species": ["Y", "Y", "Y", "Y", "Y", "Rh", "Rh", "Rh", "Rh", "Pb"],
  "frac_coords": [[0.5000, 0.5000, 0.1297], [0.5000, 0.5000, 0.3141], [0.5000, 0.5000, 0.5000], [0.5000, 0.5000, 0.6859], [0.5000, 0.5000, 0.8703], [0.0000, 0.0000, 0.2199], [0.0000, 0.0000, 0.4072], [0.0000, 0.0000, 0.5928], [0.0000, 0.0000, 0.7801], [0.0000, 0.0000, 0.0000]],
  "space_group": "P4/mmm",
  "delta_e_f_ev_per_atom": -0.7670,
  "dos_ef_per_ev_cell": 4.23,
  "e_tot_ev_per_atom": -7.310
}

---

No. 6
{
  "formula": "KYMn2",
  "functional": "PBE-GGA",
  "state": "relaxed",
  "cell": [[5.5061, 0.0000, 0.0000], [0.0000, 5.5097, 0.0000], [0.0000, 0.0000, 3.4577]],
  "species": ["K", "Mn", "Mn", "Y"],
  "frac_coords": [[0.0000, 0.5000, 0.5000], [0.0000, 0.0000, 0.0000], [0.5000, 0.5000, 0.0000], [0.5000, 0.0000, 0.5000]],
  "space_group": "P4/mmm",
  "relative_energy_ev_per_atom": 0.366,
  "delta_e_f_ev_per_atom": 0.8413,
  "dos_ef_per_ev_cell": 6.28,
  "e_tot_ev_per_atom": -5.634
}

---

No. 7
{
  "formula": "Dy4SiC",
  "functional": "PBE-GGA",
  "state": "relaxed",
  "cell": [[6.9151, -0.3067, 0.0000], [-1.2699, 6.1652, 0.0000], [-2.8226, -2.9292, 6.9257]],
  "species": ["Dy", "Dy", "Dy", "Dy", "Dy", "Dy", "Dy", "Dy", "Si", "Si", "C", "C"],
  "frac_coords": [[0.9396, 0.2878, 0.0958], [0.6561, 0.8079, 0.0958], [0.2821, 0.5711, 0.5898], [0.7179, 0.4289, 0.4102], [0.1923, 0.9813, 0.4102], [0.3439, 0.1921, 0.9042], [0.8077, 0.0187, 0.5898], [0.0604, 0.7122, 0.9042], [0.3815, 0.6315, 0.2629], [0.6185, 0.3685, 0.7371], [0.0680, 0.8180, 0.6361], [0.9320, 0.1820, 0.3639]],
  "space_group": "C2/c",
  "raw_formation_energy_kj_per_mol_atoms": -31,
  "dos_ef_per_ev_cell": 13.33,
  "e_tot_ev_per_atom": -5.826
}

---

No. 8
{
  "formula": "Ti2Fe2N",
  "functional": "PBE-GGA",
  "state": "relaxed",
  "cell": [[4.4493, 0.0000, 0.0000], [0.0000, 4.4493, 0.0000], [2.2246, 2.2246, 4.9161]],
  "species": ["N", "Fe", "Fe", "Ti", "Ti"],
  "frac_coords": [[0.0000, 0.0000, 0.0000], [0.8298, 0.8298, 0.3405], [0.1702, 0.1702, 0.6595], [0.7500, 0.2500, 0.5000], [0.2500, 0.7500, 0.5000]],
  "space_group": "I4/mmm",
  "raw_formation_energy_kj_per_mol_atoms": 58,
  "relative_energy_ev_per_atom": 0.602,
  "dos_ef_per_ev_cell": 3.67,
  "e_tot_ev_per_atom": -7.605
}

---

No. 9
{
  "formula": "PrMg3Ge3",
  "functional": "PBE-GGA",
  "state": "relaxed",
  "cell": [[-3.9735, 4.3007, 4.2221], [-4.5799, -5.4419, 1.2330], [3.9175, -2.0000, 5.7240]],
  "species": ["Pr", "Pr", "Ge", "Ge", "Ge", "Ge", "Ge", "Ge", "Mg", "Mg", "Mg", "Mg", "Mg", "Mg"],
  "frac_coords": [[0.5000, 0.5000, 0.5000], [0.0000, 0.0000, 0.0000], [0.2500, 0.0000, 0.5000], [0.0000, 0.5000, 0.2500], [0.5000, 0.7500, 0.0000], [0.7500, 0.0000, 0.5000], [0.0000, 0.5000, 0.7500], [0.5000, 0.2500, 0.0000], [0.0000, 0.2500, 0.5000], [0.0000, 0.7500, 0.5000], [0.5000, 0.0000, 0.7500], [0.7500, 0.5000, 0.0000], [0.5000, 0.0000, 0.2500], [0.2500, 0.5000, 0.0000]],
  "space_group": "Pm-3n",
  "delta_e_f_ev_per_atom": 0.1806,
  "dos_ef_per_ev_cell": 7.37,
  "e_tot_ev_per_atom": -3.164
}

---

No. 10
{
  "formula": "Cd2In2Cl7",
  "functional": "PBE-GGA",
  "state": "relaxed",
  "cell": [[-6.6306, -0.8496, 2.3518], [2.4736, -2.0095, 6.2409], [2.9329, 6.3883, 0.8972]],
  "species": ["Cd", "Cd", "In", "In", "Cl", "Cl", "Cl", "Cl", "Cl", "Cl", "Cl"],
  "frac_coords": [[0.7829, 0.0000, 0.2171], [0.2171, 0.0000, 0.7829], [0.7745, 0.5000, 0.7745], [0.2255, 0.5000, 0.2255], [0.9998, 0.2537, 0.5003], [0.5003, 0.7463, 0.9998], [0.0002, 0.7463, 0.4997], [0.4997, 0.2537, 0.0002], [0.0000, 0.0000, 0.0000], [0.5002, 0.7373, 0.4998], [0.4998, 0.2627, 0.5002]],
  "space_group": "Cmmm",
  "raw_formation_energy_kj_per_mol_atoms": -86,
  "relative_energy_ev_per_atom": 0.020,
  "dos_ef_per_ev_cell": 2.09,
  "e_tot_ev_per_atom": -2.733
}

---

No. 11
{
  "formula": "KIn2Pt",
  "functional": "PBE-GGA",
  "state": "relaxed",
  "cell": [[-1.1120, 2.6205, -2.4618], [0.5694, -2.4874, -2.9050], [-7.5356, -3.8771, -0.7233]],
  "species": ["In", "In", "K", "Pt"],
  "frac_coords": [[0.0000, 0.9855, 0.9021], [0.5000, 0.3377, 0.2002], [0.0000, 0.6787, 0.5210], [0.5000, 0.4981, 0.8767]],
  "space_group": "Pm",
  "delta_e_f_ev_per_atom": -0.2014,
  "dos_ef_per_ev_cell": 2.57,
  "e_tot_ev_per_atom": -3.355
}

---

No. 12
{
  "formula": "CeHgGe",
  "functional": "PBE-GGA",
  "state": "relaxed",
  "cell": [[-3.9111, 0.6776, -0.7633], [-1.0371, -1.8330, 3.6871], [1.0717, 8.5723, 2.1181]],
  "species": ["Ce", "Ce", "Hg", "Hg", "Ge", "Ge"],
  "frac_coords": [[0.2500, 0.9022, 0.8044], [0.7500, 0.0978, 0.1956], [0.7500, 0.2866, 0.5731], [0.2500, 0.7134, 0.4269], [0.2500, 0.5462, 0.0923], [0.7500, 0.4538, 0.9077]],
  "space_group": "Cmcm",
  "delta_e_f_ev_per_atom": -0.4863,
  "dos_ef_per_ev_cell": 13.29,
  "e_tot_ev_per_atom": -4.104
}

---

No. 13
{
  "formula": "ThAs2Pd2",
  "functional": "PBE-GGA",
  "state": "relaxed",
  "cell": [[-3.3956, -5.7878, -1.9489], [1.2727, -2.3594, 6.4529], [-2.6489, 6.1587, -1.0413]],
  "species": ["Th", "Th", "As", "As", "As", "As", "Pd", "Pd", "Pd", "Pd"],
  "frac_coords": [[0.1176, 0.8824, 0.2500], [0.8824, 0.1176, 0.7500], [0.4076, 0.5924, 0.2500], [0.8181, 0.1819, 0.2500], [0.1819, 0.8181, 0.7500], [0.5924, 0.4076, 0.7500], [0.7753, 0.5522, 0.5817], [0.4478, 0.2247, 0.9183], [0.5522, 0.7753, 0.0817], [0.2247, 0.4478, 0.4183]],
  "space_group": "C2/c",
  "delta_e_f_ev_per_atom": -0.6572,
  "dos_ef_per_ev_cell": 5.80,
  "e_tot_ev_per_atom": -6.078
}

---

No. 14
{
  "formula": "HfCd2TcPb",
  "functional": "PBE-GGA",
  "state": "relaxed",
  "cell": [[5.4519, 0.0000, 0.0000], [0.0000, 5.5177, 0.0000], [0.0000, 0.0000, 5.4519]],
  "species": ["Pb", "Hf", "Tc", "Cd", "Cd"],
  "frac_coords": [[0.0000, 0.5000, 0.0000], [0.0000, 0.0000, 0.0000], [0.5000, 0.5000, 0.5000], [0.0000, 0.0000, 0.5000], [0.5000, 0.0000, 0.0000]],
  "space_group": "P4/mmm",
  "delta_e_f_ev_per_atom": 1.5411,
  "dos_ef_per_ev_cell": 4.51,
  "e_tot_ev_per_atom": -3.630
}

---

No. 15
{
  "formula": "Al3GaB",
  "functional": "PBE-GGA",
  "state": "relaxed",
  "cell": [[-3.5831, 2.1016, -0.8163], [0.1422, -1.3189, -4.0202], [-2.2501, -3.4301, 1.0457]],
  "species": ["B", "Al", "Al", "Al", "Ga"],
  "frac_coords": [[0.0000, 0.0000, 0.0000], [0.0000, 0.5000, 0.0000], [0.0000, 0.0000, 0.5000], [0.5000, 0.0000, 0.0000], [0.5000, 0.5000, 0.5000]],
  "space_group": "Pm-3m",
  "relative_energy_ev_per_atom": 0.000,
  "delta_e_f_ev_per_atom": 0.2398,
  "dos_ef_per_ev_cell": 2.68,
  "e_tot_ev_per_atom": -3.947
}

---

No. 16
{
  "formula": "Al3V7Re",
  "functional": "PBE-GGA",
  "state": "relaxed",
  "cell": [[2.5575, 0.0000, 0.0000], [-1.2787, 10.1452, 0.0000], [0.0000, 0.0000, 12.8172]],
  "species": ["Al", "Al", "Al", "Al", "Al", "Al", "V", "V", "V", "V", "V", "V", "V", "V", "V", "V", "V", "V", "V", "V", "Re", "Re"],
  "frac_coords": [[0.1526, 0.3052, 0.4268], [0.8474, 0.6948, 0.5732], [0.1602, 0.3205, 0.7500], [0.8398, 0.6795, 0.2500], [0.1526, 0.3052, 0.0732], [0.8474, 0.6948, 0.9268], [0.3953, 0.7907, 0.7500], [0.6047, 0.2093, 0.2500], [0.5345, 0.0689, 0.4147], [0.4655, 0.9311, 0.5853], [0.4655, 0.9311, 0.9147], [0.5345, 0.0689, 0.0853], [0.4048, 0.8096, 0.4078], [0.5952, 0.1904, 0.5922], [0.2810, 0.5619, 0.4154], [0.7190, 0.4381, 0.5846], [0.7190, 0.4381, 0.9154], [0.2810, 0.5619, 0.0846], [0.4048, 0.8096, 0.0922], [0.5952, 0.1904, 0.9078], [0.9748, 0.9497, 0.2500], [0.0252, 0.0503, 0.7500]],
  "space_group": "Cmcm",
  "delta_e_f_ev_per_atom": 0.0892,
  "dos_ef_per_ev_cell": 20.62,
  "e_tot_ev_per_atom": -7.866
}

---

No. 17
{
  "formula": "TbInF4",
  "functional": "PBE-GGA",
  "state": "relaxed",
  "cell": [[8.2060, 0.0001, 0.0000], [-0.0001, 8.2060, 0.0000], [-4.1030, -4.1030, 1.6214]],
  "species": ["Tb", "In", "F", "F", "F", "F"],
  "frac_coords": [[0.7500, 0.2500, 0.5000], [0.5000, 0.5000, 0.0000], [0.1428, 0.8150, 0.7046], [0.5618, 0.8896, 0.7046], [0.1850, 0.4382, 0.2954], [0.1104, 0.8572, 0.2954]],
  "space_group": "I-4",
  "raw_formation_energy_kj_per_mol_atoms": -299,
  "dos_ef_per_ev_cell": 0.00,
  "e_tot_ev_per_atom": -5.573
}

---

No. 18
{
  "formula": "CeHoCd",
  "functional": "PBE-GGA",
  "state": "relaxed",
  "cell": [[3.0686, 0.0000, 0.0000], [0.0000, 5.3894, 0.0000], [0.0000, -2.6947, 4.6673]],
  "species": ["Ho", "Ce", "Cd"],
  "frac_coords": [[0.1682, 0.3333, 0.6667], [0.1657, 0.0000, 0.0000], [0.6661, 0.6667, 0.3333]],
  "space_group": "P3m1",
  "relative_energy_ev_per_atom": 0.186,
  "delta_e_f_ev_per_atom": 0.0489,
  "dos_ef_per_ev_cell": 6.01,
  "e_tot_ev_per_atom": -3.760
}

---

No. 19
{
  "formula": "KNb4Bi5O18",
  "functional": "PBE-GGA",
  "state": "relaxed",
  "cell": [[-9.3573, 1.0382, 9.0493], [5.1080, -3.8807, -11.3743], [1.8023, -4.8170, 2.4367]],
  "species": ["K", "Nb", "Nb", "Nb", "Nb", "Bi", "Bi", "Bi", "Bi", "Bi", "O", "O", "O", "O", "O", "O", "O", "O", "O", "O", "O", "O", "O", "O", "O", "O", "O", "O"],
  "frac_coords": [[0.7401, 0.7401, 0.5460], [0.8228, 0.6554, 0.0526], [0.6554, 0.8228, 0.0526], [0.1581, 0.3276, 0.5423], [0.3276, 0.1581, 0.5423], [0.2152, 0.2152, 0.9942], [0.0876, 0.4889, 0.9562], [0.4889, 0.0876, 0.9562], [0.9252, 0.5239, 0.4555], [0.5239, 0.9252, 0.4555], [0.8403, 0.5262, 0.0770], [0.5262, 0.8403, 0.0770], [0.1691, 0.4817, 0.5831], [0.4817, 0.1691, 0.5831], [0.9570, 0.1226, 0.8656], [0.1226, 0.9570, 0.8656], [0.0560, 0.8763, 0.3599], [0.8763, 0.0560, 0.3599], [0.7739, 0.2708, 0.7450], [0.2708, 0.7739, 0.7450], [0.2381, 0.7401, 0.2456], [0.7401, 0.2381, 0.2456], [0.4497, 0.5883, 0.8132], [0.5883, 0.4497, 0.8132], [0.5354, 0.4006, 0.2977], [0.4006, 0.5354, 0.2977], [0.8218, 0.8218, 0.0803], [0.2074, 0.2074, 0.6064]],
  "space_group": "Cm",
  "raw_formation_energy_kj_per_mol_atoms": -191,
  "dos_ef_per_ev_cell": 0.00,
  "e_tot_ev_per_atom": -7.334
}

---

No. 20
{
  "formula": "Tl2HgRh",
  "functional": "PBE-GGA",
  "state": "relaxed",
  "cell": [[-1.0117, -0.2093, -5.7352], [5.4666, -1.8082, -0.8983], [-0.1404, -8.5109, -2.6253]],
  "species": ["Tl", "Tl", "Tl", "Tl", "Rh", "Rh", "Hg", "Hg"],
  "frac_coords": [[0.5412, 0.1250, 0.2500], [0.2088, 0.6250, 0.2500], [0.3750, 0.4588, 0.7500], [0.8750, 0.7912, 0.7500], [0.5000, 0.5000, 0.0000], [0.2500, 0.7500, 0.5000], [0.0000, 0.0000, 0.0000], [0.7500, 0.2500, 0.5000]],
  "space_group": "I-42d",
  "relative_energy_ev_per_atom": 0.356,
  "delta_e_f_ev_per_atom": 0.4056,
  "dos_ef_per_ev_cell": 4.09,
  "e_tot_ev_per_atom": -2.691
}

---

No. 21
{
  "formula": "LiCaCdCu",
  "functional": "PBE-GGA",
  "state": "relaxed",
  "cell": [[4.8507, 0.0000, 0.0000], [2.4253, 4.2008, 0.0000], [2.4253, 1.4003, 3.9606]],
  "species": ["Ca", "Li", "Cu", "Cd"],
  "frac_coords": [[0.2500, 0.2500, 0.2500], [0.5000, 0.5000, 0.5000], [0.0000, 0.0000, 0.0000], [0.7500, 0.7500, 0.7500]],
  "space_group": "F-43m",
  "delta_e_f_ev_per_atom": -0.1318,
  "dos_ef_per_ev_cell": 2.33,
  "e_tot_ev_per_atom": -2.363
}

---

No. 22
{
  "formula": "CeMg5",
  "functional": "PBE-GGA",
  "state": "relaxed",
  "cell": [[3.2493, 0.0000, 0.0000], [0.0000, 5.4397, 0.0000], [0.0000, -2.7198, 8.4005]],
  "species": ["Mg", "Mg", "Mg", "Mg", "Mg", "Ce"],
  "frac_coords": [[0.0000, 0.6546, 0.3092], [0.0000, 0.3454, 0.6908], [0.5000, 0.5000, 0.0000], [0.5000, 0.1817, 0.3635], [0.5000, 0.8183, 0.6365], [0.0000, 0.0000, 0.0000]],
  "space_group": "Cmmm",
  "delta_e_f_ev_per_atom": 0.0699,
  "dos_ef_per_ev_cell": 8.70,
  "e_tot_ev_per_atom": -2.248
}

---

No. 23
{
  "formula": "TiTlRe2",
  "functional": "PBE-GGA",
  "state": "relaxed",
  "cell": [[4.0169, 0.0000, 0.0000], [0.0000, 4.0169, 0.0000], [2.0084, 2.0084, 9.5870]],
  "species": ["Re", "Re", "Re", "Re", "Tl", "Tl", "Ti", "Ti"],
  "frac_coords": [[0.5487, 0.1250, 0.2500], [0.2013, 0.6250, 0.2500], [0.3750, 0.4513, 0.7500], [0.8750, 0.7987, 0.7500], [0.0000, 0.0000, 0.0000], [0.7500, 0.2500, 0.5000], [0.5000, 0.5000, 0.0000], [0.2500, 0.7500, 0.5000]],
  "space_group": "I-42d",
  "relative_energy_ev_per_atom": 0.216,
  "delta_e_f_ev_per_atom": 0.8122,
  "dos_ef_per_ev_cell": 7.95,
  "e_tot_ev_per_atom": -7.977
}

---

No. 24
{
  "formula": "Th2Hg2Pb3",
  "functional": "PBE-GGA",
  "state": "relaxed",
  "cell": [[7.6114, 0.0000, 0.7734], [0.0000, 10.8521, 0.0000], [3.8973, 0.0000, 5.4299]],
  "species": ["Th", "Th", "Th", "Th", "Hg", "Hg", "Hg", "Hg", "Pb", "Pb", "Pb", "Pb", "Pb", "Pb"],
  "frac_coords": [[0.8964, 0.7171, 0.8801], [0.3964, 0.7829, 0.8801], [0.6036, 0.2171, 0.1199], [0.1036, 0.2829, 0.1199], [0.5687, 0.3754, 0.5348], [0.9313, 0.8754, 0.4652], [0.0687, 0.1246, 0.5348], [0.4313, 0.6246, 0.4652], [0.5000, 0.5000, 0.0000], [0.0000, 0.0000, 0.0000], [0.5711, 0.0904, 0.6649], [0.9289, 0.5904, 0.3351], [0.0711, 0.4096, 0.6649], [0.4289, 0.9096, 0.3351]],
  "space_group": "P2_1/c",
  "delta_e_f_ev_per_atom": -0.0794,
  "dos_ef_per_ev_cell": 9.26,
  "e_tot_ev_per_atom": -3.875
}